This record from the Alexandria database describes a relaxed structure of KFe2SbAs. The functional is GGA-PBE.

Cell: 4.4254 4.4254 5.5160 Å, 90.00 90.00 90.00°
Positions (direct):
K1 0.0000 0.0000 0.0000
Fe1 0.0000 0.5000 0.0000
Fe2 0.5000 0.0000 0.0000
Sb1 0.5000 0.5000 0.5000
As1 0.0000 0.0000 0.5000

Values from the calculation:
For the density of states at the Fermi level, the calculation gives 11.421 states/eV/f.u. Its total energy is -3.009 eV per atom. Its symmetry is P4/mmm. As for the uncorrected formation energy: 226.77 kJ/mol of atoms. The mass density comes out at 5.34 g/cm3.



This record from the Alexandria database describes a relaxed structure of PrNd6Dy3Y2. The functional is GGA-PBE.

Cell: 6.3036 6.3036 11.9690 Å, 95.02 95.02 119.99°
Positions (direct):
Pr1 0.0000 0.0000 0.0000
Nd1 0.0846 0.4181 0.2525
Nd2 0.2489 0.2489 0.7477
Nd3 0.4181 0.0846 0.2525
Nd4 0.5819 0.9154 0.7475
Nd5 0.7511 0.7511 0.2523
Nd6 0.9154 0.5819 0.7475
Dy1 0.1669 0.8331 0.5000
Dy2 0.5000 0.5000 0.5000
Dy3 0.8331 0.1669 0.5000
Y1 0.3334 0.6666 0.0000
Y2 0.6666 0.3334 0.0000

Values from the calculation:
As for the energy relative to the elements: 0.01 eV/atom. For the density of states at the Fermi level, the calculation gives 14.937 states/eV/f.u. Its total energy is -4.998 eV per atom. Its symmetry is C2/m. The mass density comes out at 6.84 g/cm3.



This record from the Alexandria database describes a relaxed structure of ThURh4. The functional is GGA-PBE.

Cell: 5.3573 5.3573 5.3573 Å, 60.00 60.00 60.00°
Positions (direct):
Th1 0.0000 0.0000 0.0000
U1 0.7500 0.7500 0.7500
Rh1 0.3756 0.3756 0.3756
Rh2 0.3756 0.3756 0.8731
Rh3 0.3756 0.8731 0.3756
Rh4 0.8731 0.3756 0.3756

Values from the calculation:
As for the energy relative to the elements: -0.59 eV/atom. For the density of states at the Fermi level, the calculation gives 7.246 states/eV/f.u. Its total energy is -8.609 eV per atom. Its symmetry is F-43m. The mass density comes out at 13.47 g/cm3.